This record from the Alexandria database describes a geometry-optimized CoHg2Se structure. The functional is PBE.

Unit cell a=3.799 b=3.801 c=5.547 alpha=90.00 beta=90.00 gamma=90.00
Atoms (fractional coordinates):
1 Co 0.500 0.500 0.750
2 Hg 0.000 0.000 0.993
3 Hg 0.000 0.000 0.507
4 Se 0.500 0.500 0.250

Values from the calculation:
* VASP energy: -2.3101 eV/atom
* formation energy (no corrections): 1.95 eV per formula unit
* Fermi-level density of states: 1.231 states/eV/atom

This record from the Alexandria database describes a geometry-optimized ScCoBr2 structure. The functional is PBE.

Unit cell a=5.673 b=5.673 c=5.151 alpha=88.49 beta=88.49 gamma=36.17
Atoms (fractional coordinates):
1 Br 0.957 0.957 0.198
2 Br 0.722 0.722 0.735
3 Co 0.600 0.600 0.380
4 Sc 0.221 0.221 0.187

Values from the calculation:
* VASP energy: -4.7118 eV/atom
* formation energy (no corrections): -2.06 eV per formula unit
* Fermi-level density of states: 0.220 states/eV/atom
* ΔE to the lowest computed polymorph: 145 meV/atom

This record from the Alexandria database describes a geometry-optimized MgGa2Pt2 structure. The functional is PBE.

Unit cell a=7.207 b=7.207 c=3.186 alpha=90.00 beta=90.00 gamma=90.00
Atoms (fractional coordinates):
1 Mg 0.000 0.000 0.000
2 Mg 0.500 0.500 0.000
3 Ga 0.151 0.651 0.500
4 Ga 0.651 0.849 0.500
5 Ga 0.849 0.349 0.500
6 Ga 0.349 0.151 0.500
7 Pt 0.353 0.853 0.000
8 Pt 0.853 0.647 0.000
9 Pt 0.647 0.147 0.000
10 Pt 0.147 0.353 0.000

Values from the calculation:
* VASP energy: -4.5584 eV/atom
* Fermi-level density of states: 0.221 states/eV/atom
* ΔE to the lowest computed polymorph: 82 meV/atom
* energy relative to the elements: -3.06 eV/f.u.

This record from the Alexandria database describes a geometry-optimized Pm2SmRh structure. The functional is PBE.

Unit cell a=3.593 b=3.593 c=8.801 alpha=90.00 beta=90.00 gamma=90.00
Atoms (fractional coordinates):
1 Rh 0.500 0.500 0.000
2 Sm 0.500 0.500 0.500
3 Pm 0.000 0.000 0.811
4 Pm 0.000 0.000 0.189

Values from the calculation:
* VASP energy: -5.6979 eV/atom
* Fermi-level density of states: 1.144 states/eV/atom
* ΔE to the lowest computed polymorph: 142 meV/atom
* energy relative to the elements: -1.22 eV/f.u.